1.
The following is a PBE calculation of an optimized crystal structure of Be2Hg, from Alexandria.

## Properties
DFT formation energy: 1.51 eV/f.u.
VASP energy: -12.49 eV for the cell shown
N(E_F): 0.7 states/eV/f.u.

Structure (extended XYZ):
```
6
Lattice="4.6878 -1.4489 0.0000 4.6878 1.4489 0.0000 -1.4033 0.0000 5.8972" Properties=species:S:1:pos:R:3 pbc="T T T"
Be 1.5241 0.0000 0.2300
Be 0.9433 0.0000 3.9595
Be 7.0291 0.0000 1.9377
Be 6.4483 0.0000 5.6672
Hg 3.4102 0.0000 4.2606
Hg 4.5622 0.0000 1.6366
```

=====

2.
The following is a PBE calculation of an optimized crystal structure of Ho2AlSi, from Alexandria.

## Properties
E_form (uncorrected): -14.94 kcal/mol of atoms
VASP energy: -20.91 eV for the cell shown
N(E_F): 3.3 states/eV/f.u.

Structure (extended XYZ):
```
4
Lattice="3.9682 0.0000 0.0000 0.0000 2.1589 5.3815 0.0000 -2.1589 5.3815" Properties=species:S:1:pos:R:3 pbc="T T T"
Ho 0.0000 0.0000 0.0000
Ho 1.9841 0.0000 3.0429
Al 0.0000 0.0000 7.6728
Si 1.9841 0.0000 6.0746
```

=====

3.
The following is a PBE calculation of an optimized crystal structure of Zr2PC, from Alexandria.

## Properties
DFT formation energy: -1.94 eV/f.u.
VASP energy: -67.35 eV for the cell shown
N(E_F): 2.0 states/eV/f.u.

Structure (extended XYZ):
```
8
Lattice="-2.8047 2.8047 5.1724 2.8047 -2.8047 5.1724 2.8047 2.8047 -5.1724" Properties=species:S:1:pos:R:3 pbc="T T T"
Zr 4.2070 1.0802 -1.2931
Zr 1.0802 1.4023 1.2931
Zr -1.4023 1.7245 3.8793
Zr 1.7245 1.4023 6.4655
P 2.8047 0.0000 2.5862
P 0.0000 0.0000 5.1724
C 0.0000 0.0000 0.0000
C 0.0000 2.8047 2.5862
```

=====

4.
The following is a PBE calculation of an optimized crystal structure of PmTh2Pb, from Alexandria.

## Properties
DFT formation energy: 0.60 eV/f.u.
VASP energy: -22.70 eV for the cell shown
N(E_F): 5.9 states/eV/f.u.

Structure (extended XYZ):
```
4
Lattice="1.7268 0.9970 12.5040 -1.7268 0.9970 12.5040 0.0000 -1.9939 12.5040" Properties=species:S:1:pos:R:3 pbc="T T T"
Pm 0.0000 0.0000 0.0000
Th 0.0000 0.0000 3.3783
Th 0.0000 0.0000 34.1338
Pb 0.0000 0.0000 18.7561
```

=====

5.
The following is a PBE calculation of an optimized crystal structure of TbAl4Ni2, from Alexandria.

## Properties
DFT formation energy: -3.75 eV/f.u.
VASP energy: -69.82 eV for the cell shown
N(E_F): 3.1 states/eV/f.u.

Structure (extended XYZ):
```
14
Lattice="7.5083 0.0000 0.0000 0.0000 7.5083 0.0000 0.0000 0.0000 4.0008" Properties=species:S:1:pos:R:3 pbc="T T T"
Tb 0.0000 0.0000 0.0000
Tb 3.7541 3.7541 2.0004
Al 0.6322 2.4920 2.0004
Al 1.2621 4.3864 0.0000
Al 2.4920 0.6322 2.0004
Al 3.1219 6.2461 0.0000
Al 4.3864 1.2621 0.0000
Al 5.0163 6.8760 2.0004
Al 6.2461 3.1219 0.0000
Al 6.8760 5.0163 2.0004
Ni 1.6763 5.8320 2.0004
Ni 2.0779 2.0779 0.0000
Ni 5.4304 5.4304 0.0000
Ni 5.8320 1.6763 2.0004
```

=====

6.
The following is a PBE calculation of an optimized crystal structure of Ba2CuRhC, from Alexandria.

## Properties
DFT formation energy: 0.37 eV/f.u.
VASP energy: -24.15 eV for the cell shown
N(E_F): 2.5 states/eV/f.u.

Structure (extended XYZ):
```
5
Lattice="5.8477 0.0000 0.0000 0.0000 5.8477 0.0000 0.0000 0.0000 3.8943" Properties=species:S:1:pos:R:3 pbc="T T T"
Ba 0.0000 2.9239 0.0000
Ba 2.9239 0.0000 0.0000
Cu 0.0000 0.0000 1.9472
Rh 2.9239 2.9239 1.9472
C 2.9239 2.9239 0.0000
```

=====

7.
The following is a PBE calculation of an optimized crystal structure of Hg3BiAu, from Alexandria.

## Properties
DFT formation energy: 2.24 eV/f.u.
VASP energy: -5.83 eV for the cell shown
N(E_F): 1.0 states/eV/f.u.

Structure (extended XYZ):
```
5
Lattice="5.8239 0.0000 0.0000 0.0000 5.8239 0.0000 0.0000 0.0000 5.8239" Properties=species:S:1:pos:R:3 pbc="T T T"
Hg 0.0000 0.0000 2.9119
Hg 0.0000 2.9119 0.0000
Hg 2.9119 0.0000 0.0000
Bi 0.0000 0.0000 0.0000
Au 2.9119 2.9119 2.9119
```

=====

8.
The following is a PBE calculation of an optimized crystal structure of Ho4RhPb, from Alexandria.

## Properties
DFT formation energy: -3.10 eV/f.u.
VASP energy: -64.94 eV for the cell shown
N(E_F): 5.2 states/eV/f.u.

Structure (extended XYZ):
```
12
Lattice="4.4678 -6.7082 0.0000 4.4678 6.7082 0.0000 -2.3789 0.0000 5.5522" Properties=species:S:1:pos:R:3 pbc="T T T"
Ho 1.2526 4.4332 5.1741
Ho 0.9630 0.9718 3.6542
Ho 4.1148 4.4332 3.1542
Ho 2.1524 -0.9718 0.8781
Ho 4.4043 0.9718 4.6741
Ho 2.4420 -4.4332 2.3980
Ho 5.5938 -0.9718 1.8980
Ho 5.3042 -4.4332 0.3781
Rh 3.8731 6.7052 1.3880
Rh 2.6837 -6.7052 4.1641
Pb 3.8731 1.7240 1.3880
Pb 2.6837 -1.7240 4.1641
```